Entry 1:
Here is a relaxed NaFeWS2 crystal from Alexandria via LeMat-Bulk. Energies are from PBE.

Cell: 4.641 4.508 4.641 Å, 90.00 90.00 90.00°
Atoms (fractional coordinates):
Na (0.500, 0.500, 0.500)
S (0.000, 0.000, 0.500)
S (0.500, 0.000, 0.000)
Fe (0.000, 0.000, 0.000)
W (0.000, 0.500, 0.000)

Values from the calculation:
Formation energy from raw total energies   0.783 eV/atom
Size of the total moment   4.04 μB per formula unit
Calculated density   5.59 g/cm3

***

Entry 2:
Here is a relaxed As2Pd4Au crystal from Alexandria via LeMat-Bulk. Energies are from PBE.

Cell: 4.035 6.685 17.321 Å, 90.00 90.00 90.00°
Atoms (fractional coordinates):
As (0.250, 0.753, 0.540)
As (0.750, 0.247, 0.460)
As (0.750, 0.253, 0.960)
As (0.250, 0.747, 0.040)
As (0.250, 0.106, 0.782)
As (0.750, 0.894, 0.218)
As (0.750, 0.606, 0.718)
As (0.250, 0.394, 0.282)
Au (0.750, 0.110, 0.647)
Au (0.250, 0.890, 0.353)
Au (0.250, 0.610, 0.853)
Au (0.750, 0.390, 0.147)
Pd (0.250, 0.387, 0.686)
Pd (0.750, 0.613, 0.314)
Pd (0.750, 0.887, 0.814)
Pd (0.250, 0.113, 0.186)
Pd (0.250, 0.827, 0.683)
Pd (0.750, 0.173, 0.317)
Pd (0.750, 0.327, 0.817)
Pd (0.250, 0.673, 0.183)
Pd (0.250, 0.133, 0.538)
Pd (0.750, 0.867, 0.462)
Pd (0.750, 0.633, 0.962)
Pd (0.250, 0.367, 0.038)
Pd (0.250, 0.486, 0.432)
Pd (0.750, 0.514, 0.568)
Pd (0.750, 0.986, 0.068)
Pd (0.250, 0.014, 0.932)

Values from the calculation:
Size of the total moment   0.00 μB per formula unit
Energy of formation from the pure elements   -0.28 eV/atom
Calculated density   10.98 g/cm3

***

Entry 3:
Here is a relaxed BaTlCu2 crystal from Alexandria via LeMat-Bulk. Energies are from PBE.

Cell: 4.470 4.470 6.599 Å, 70.21 70.21 59.86°
Atoms (fractional coordinates):
Ba (0.262, 0.262, 0.214)
Cu (0.057, 0.057, 0.830)
Cu (0.726, 0.726, 0.821)
Tl (0.455, 0.455, 0.635)

Values from the calculation:
Size of the total moment   0.00 μB per formula unit
Energy of formation from the pure elements   -0.04 eV/atom
Calculated density   7.42 g/cm3

***

Entry 4:
Here is a relaxed CaBe2Re crystal from Alexandria via LeMat-Bulk. Energies are from PBE.

Cell: 4.756 4.756 5.189 Å, 74.22 74.22 32.25°
Atoms (fractional coordinates):
Re (0.283, 0.283, 0.134)
Ca (0.489, 0.489, 0.523)
Be (0.022, 0.022, 0.032)
Be (0.707, 0.707, 0.810)

Values from the calculation:
Energy relative to the lowest polymorph listed for this composition   197 meV per atom
Size of the total moment   0.00 μB per formula unit
Energy of formation from the pure elements   0.49 eV/atom
Calculated density   6.75 g/cm3

***

Entry 5:
Here is a relaxed UCrCl6 crystal from Alexandria via LeMat-Bulk. Energies are from PBE.

Cell: 6.560 6.560 7.021 Å, 62.14 62.15 60.00°
Atoms (fractional coordinates):
U (0.500, 0.500, 0.500)
Cr (0.000, 0.000, 0.000)
Cl (0.108, 0.377, 0.758)
Cl (0.757, 0.108, 0.758)
Cl (0.623, 0.243, 0.242)
Cl (0.243, 0.892, 0.242)
Cl (0.892, 0.623, 0.242)
Cl (0.377, 0.757, 0.758)

Values from the calculation:
Formation energy from raw total energies   -1.412 eV/atom
Energy relative to the lowest polymorph listed for this composition   5 meV per atom
Size of the total moment   6.00 μB per formula unit
Calculated density   3.79 g/cm3

***

Entry 6:
Here is a relaxed Dy5ZnSi2 crystal from Alexandria via LeMat-Bulk. Energies are from PBE.

Cell: 7.479 7.479 8.856 Å, 114.98 114.98 90.00°
Atoms (fractional coordinates):
Dy (0.532, 0.684, 0.716)
Dy (0.816, 0.968, 0.284)
Dy (0.000, 0.000, 0.000)
Dy (0.500, 0.500, 0.000)
Dy (0.184, 0.032, 0.716)
Dy (0.684, 0.184, 0.716)
Dy (0.032, 0.532, 0.716)
Dy (0.316, 0.816, 0.284)
Dy (0.968, 0.468, 0.284)
Dy (0.468, 0.316, 0.284)
Zn (0.750, 0.750, 0.500)
Zn (0.250, 0.250, 0.500)
Si (0.121, 0.379, 0.000)
Si (0.621, 0.121, 0.000)
Si (0.379, 0.879, 0.000)
Si (0.879, 0.621, 0.000)

Values from the calculation:
Formation energy from raw total energies   -0.510 eV/atom
Size of the total moment   0.00 μB per formula unit
Calculated density   7.81 g/cm3

***

Q: size of the total moment of number 4 (CaBe2Re)?
A: 0.00 μB per formula unit

***

Q: Which value of size of the total moment does entry 2 give?
A: 0.00 μB per formula unit